(1)
Below is a relaxed Nb3VS crystal, with properties calculated at the GGA-PBE level.

a b c (Å): 5.936 5.936 8.913
angles (deg): 90.00 90.00 146.90
Fractional positions:
Nb 0.076 0.924 0.750
Nb 0.352 0.648 0.559
Nb 0.352 0.648 0.941
Nb 0.648 0.352 0.059
Nb 0.648 0.352 0.441
Nb 0.924 0.076 0.250
V 0.252 0.748 0.250
V 0.748 0.252 0.750
S 0.000 0.000 0.000
S 0.000 0.000 0.500

Properties
energy relative to the elements, uncorrected: -227 meV/atom
calculated volume: 17.15 A^3/atom
excess energy over the best structure of this formula in the dataset: 0 meV per atom



(2)
Below is a relaxed Nb2V2S crystal, with properties calculated at the GGA-PBE level.

a b c (Å): 6.382 6.382 4.382
angles (deg): 90.00 90.00 90.00
Fractional positions:
Nb 0.167 0.333 0.000
Nb 0.333 0.833 0.000
Nb 0.667 0.167 0.000
Nb 0.833 0.667 0.000
V 0.110 0.610 0.500
V 0.390 0.110 0.500
V 0.610 0.890 0.500
V 0.890 0.390 0.500
S 0.000 0.000 0.000
S 0.500 0.500 0.000

Properties
energy relative to the elements, uncorrected: 134 meV/atom
calculated volume: 17.85 A^3/atom
excess energy over the best structure of this formula in the dataset: 0 meV per atom



(3)
Below is a relaxed NbVS2 crystal, with properties calculated at the GGA-PBE level.

a b c (Å): 4.320 4.320 4.320
angles (deg): 60.00 60.00 60.00
Fractional positions:
Nb 0.000 0.000 0.000
V 0.500 0.500 0.500
S 0.250 0.250 0.250
S 0.750 0.750 0.750

Properties
energy relative to the elements, uncorrected: -573 meV/atom
calculated volume: 14.25 A^3/atom
excess energy over the best structure of this formula in the dataset: 347 meV per atom



(4)
Below is a relaxed Nb2VS crystal, with properties calculated at the GGA-PBE level.

a b c (Å): 5.498 3.272 7.090
angles (deg): 90.00 100.91 90.00
Fractional positions:
Nb 0.102 0.250 0.360
Nb 0.268 0.750 0.050
Nb 0.732 0.250 0.950
Nb 0.898 0.750 0.640
V 0.433 0.750 0.640
V 0.567 0.250 0.360
S 0.227 0.250 0.784
S 0.773 0.750 0.216

Properties
energy relative to the elements, uncorrected: -388 meV/atom
calculated volume: 15.66 A^3/atom



(5)
Below is a relaxed NbV3S6 crystal, with properties calculated at the GGA-PBE level.

a b c (Å): 9.928 3.351 10.119
angles (deg): 90.00 109.87 90.00
Fractional positions:
Nb 0.062 0.250 0.198
Nb 0.938 0.750 0.802
V 0.121 0.250 0.561
V 0.327 0.750 0.995
V 0.459 0.250 0.381
V 0.541 0.750 0.619
V 0.673 0.250 0.005
V 0.879 0.750 0.439
S 0.088 0.750 0.393
S 0.114 0.250 0.968
S 0.177 0.750 0.748
S 0.278 0.750 0.222
S 0.372 0.250 0.568
S 0.487 0.250 0.125
S 0.513 0.750 0.875
S 0.628 0.750 0.432
S 0.722 0.250 0.778
S 0.823 0.250 0.252
S 0.886 0.750 0.032
S 0.912 0.250 0.607

Properties
energy relative to the elements, uncorrected: -787 meV/atom
calculated volume: 15.83 A^3/atom



(6)
Below is a relaxed Nb6VS8 crystal, with properties calculated at the GGA-PBE level.

a b c (Å): 6.668 6.668 6.668
angles (deg): 91.29 91.29 91.29
Fractional positions:
Nb 0.202 0.546 0.403
Nb 0.403 0.202 0.546
Nb 0.454 0.597 0.798
Nb 0.546 0.403 0.202
Nb 0.597 0.798 0.454
Nb 0.798 0.454 0.597
V 0.000 0.000 0.000
S 0.138 0.391 0.740
S 0.215 0.215 0.215
S 0.260 0.862 0.609
S 0.391 0.740 0.138
S 0.609 0.260 0.862
S 0.740 0.138 0.391
S 0.785 0.785 0.785
S 0.862 0.609 0.260

Properties
energy relative to the elements, uncorrected: -790 meV/atom
calculated volume: 19.75 A^3/atom